Entry from Alexandria: an optimized crystal structure of SmLuNiRu (PBE).

SG: No. 216
ΔH_f (0 K) in meV/atom: -364.8
Total magnetization in Bohr magnetons per cell: 0.0
Final energy in eV/atom: -6.44

Geometry as CIF:
```
data_SmLuNiRu
_cell_length_a 4.797
_cell_length_b 4.797
_cell_length_c 4.797
_cell_angle_alpha 60.00
_cell_angle_beta 60.00
_cell_angle_gamma 60.00
_symmetry_space_group_name_H-M 'P 1'
_symmetry_Int_Tables_number 1
loop_
_symmetry_equiv_pos_as_xyz
'x,y,z'
loop_
_atom_site_label
_atom_site_fract_x
_atom_site_fract_y
_atom_site_fract_z
Ni1 0.250 0.250 0.250
Sm1 0.500 0.500 0.500
Lu1 0.000 0.000 0.000
Ru1 0.750 0.750 0.750
```